{"formula": "Hf5MoRu4", "functional": "PBE", "state": "optimized geometry", "final_energy_ev_per_fu": -104.3, "formation_enthalpy_0k_ev_per_fu": -6.6, "lattice": [[3.247, 0.000, 0.000], [0.000, 3.247, 0.000], [0.000, 0.000, 16.424]], "species": ["Hf", "Hf", "Hf", "Hf", "Hf", "Mo", "Ru", "Ru", "Ru", "Ru"], "frac_coords": [[0.000, 0.000, 0.000], [0.000, 0.000, 0.199], [0.000, 0.000, 0.397], [0.000, 0.000, 0.603], [0.000, 0.000, 0.801], [0.500, 0.500, 0.500], [0.500, 0.500, 0.098], [0.500, 0.500, 0.295], [0.500, 0.500, 0.705], [0.500, 0.500, 0.902]]}

=====

{"formula": "LiLaI", "functional": "PBE", "state": "optimized geometry", "final_energy_ev_per_fu": -10.1, "raw_formation_energy_ev_per_fu": -1.72, "lattice": [[6.397, 0.000, 0.000], [0.000, 4.005, 0.000], [-2.289, 0.000, 7.178]], "species": ["Li", "Li", "La", "La", "I", "I"], "frac_coords": [[0.190, 0.250, 0.437], [0.810, 0.750, 0.563], [0.168, 0.250, 0.882], [0.832, 0.750, 0.118], [0.382, 0.750, 0.240], [0.618, 0.250, 0.760]]}

=====

{"formula": "Pm6GaCo", "functional": "PBE", "state": "optimized geometry", "final_energy_ev_per_fu": -38.8, "formation_enthalpy_0k_ev_per_fu": -0.2, "lattice": [[3.711, -5.256, 0.000], [3.711, 5.256, 0.000], [-1.608, 0.000, 6.387]], "species": ["Pm", "Pm", "Pm", "Pm", "Pm", "Pm", "Ga", "Co"], "frac_coords": [[0.012, 0.657, 0.731], [0.280, 0.280, 0.829], [0.343, 0.988, 0.269], [0.657, 0.012, 0.731], [0.720, 0.720, 0.171], [0.988, 0.343, 0.269], [0.500, 0.500, 0.500], [0.000, 0.000, 0.000]]}

=====

{"formula": "RbNiAgCl6", "functional": "PBE", "state": "optimized geometry", "final_energy_ev_per_fu": -27.3, "raw_formation_energy_ev_per_fu": -6.66, "lattice": [[6.676, 0.000, 0.000], [-3.338, 5.782, 0.000], [0.000, 0.000, 7.017]], "species": ["Rb", "Ni", "Ag", "Cl", "Cl", "Cl", "Cl", "Cl", "Cl"], "frac_coords": [[0.000, 0.000, 0.000], [0.667, 0.333, 0.500], [0.333, 0.667, 0.500], [0.402, 0.049, 0.688], [0.402, 0.352, 0.312], [0.648, 0.049, 0.312], [0.648, 0.598, 0.688], [0.951, 0.352, 0.688], [0.951, 0.598, 0.312]]}

=====

{"formula": "Ce2Ge3BiPd4", "functional": "PBE", "state": "optimized geometry", "final_energy_ev_per_fu": -57.2, "formation_enthalpy_0k_ev_per_fu": -6.8, "lattice": [[4.337, 0.000, 0.000], [0.000, 4.337, 0.000], [0.000, 0.000, 10.956]], "species": ["Ce", "Ce", "Ge", "Ge", "Ge", "Bi", "Pd", "Pd", "Pd", "Pd"], "frac_coords": [[0.000, 0.500, 0.229], [0.500, 0.000, 0.771], [0.000, 0.500, 0.878], [0.500, 0.000, 0.122], [0.500, 0.500, 0.500], [0.000, 0.000, 0.500], [0.000, 0.000, 0.000], [0.000, 0.500, 0.655], [0.500, 0.000, 0.345], [0.500, 0.500, 0.000]]}

=====

{"formula": "CdSn3Pd6", "functional": "PBE", "state": "optimized geometry", "final_energy_ev_per_fu": -48.1, "formation_enthalpy_0k_ev_per_fu": -4.0, "lattice": [[4.549, -6.243, 0.000], [4.549, 6.243, 0.000], [0.000, 0.000, 6.682]], "species": ["Cd", "Cd", "Sn", "Sn", "Sn", "Sn", "Sn", "Sn", "Pd", "Pd", "Pd", "Pd", "Pd", "Pd", "Pd", "Pd", "Pd", "Pd", "Pd", "Pd"], "frac_coords": [[0.213, 0.787, 0.500], [0.787, 0.213, 0.000], [0.049, 0.290, 0.410], [0.290, 0.049, 0.910], [0.438, 0.562, 0.786], [0.562, 0.438, 0.286], [0.710, 0.951, 0.410], [0.951, 0.710, 0.910], [0.037, 0.963, 0.233], [0.069, 0.453, 0.759], [0.247, 0.339, 0.082], [0.279, 0.721, 0.075], [0.339, 0.247, 0.582], [0.453, 0.069, 0.259], [0.547, 0.931, 0.759], [0.661, 0.753, 0.082], [0.721, 0.279, 0.575], [0.753, 0.661, 0.582], [0.931, 0.547, 0.259], [0.963, 0.037, 0.733]]}

=====

{"formula": "PaTiIn2", "functional": "PBE", "state": "optimized geometry", "final_energy_ev_per_fu": -23.0, "formation_enthalpy_0k_ev_per_fu": -0.1, "relative_energy_mev_per_atom": 37, "lattice": [[1.578, 0.911, 10.404], [-1.578, 0.911, 10.404], [0.000, -1.822, 10.404]], "species": ["Pa", "Ti", "In", "In"], "frac_coords": [[0.000, 0.000, 0.000], [0.500, 0.500, 0.500], [0.243, 0.243, 0.243], [0.757, 0.757, 0.757]]}

=====

{"formula": "NpNiGe2", "functional": "PBE", "state": "optimized geometry", "final_energy_ev_per_fu": -28.6, "formation_enthalpy_0k_ev_per_fu": -0.6, "lattice": [[-2.071, 2.071, 4.504], [2.071, -2.071, 4.504], [2.071, 2.071, -4.504]], "species": ["Np", "Ni", "Ge", "Ge"], "frac_coords": [[0.000, 0.000, 0.000], [0.250, 0.750, 0.500], [0.362, 0.362, 0.000], [0.638, 0.638, 0.000]]}

=====

{"formula": "TbPu2Ni", "functional": "PBE", "state": "optimized geometry", "final_energy_ev_per_fu": -37.8, "formation_enthalpy_0k_ev_per_fu": 1.3, "relative_energy_mev_per_atom": 235, "lattice": [[1.725, 0.996, 10.054], [-1.725, 0.996, 10.054], [0.000, -1.992, 10.054]], "species": ["Tb", "Pu", "Pu", "Ni"], "frac_coords": [[0.000, 0.000, 0.000], [0.105, 0.105, 0.105], [0.895, 0.895, 0.895], [0.500, 0.500, 0.500]]}

=====

{"formula": "NiGeB", "functional": "PBE", "state": "optimized geometry", "final_energy_ev_per_fu": -16.9, "formation_enthalpy_0k_ev_per_fu": 0.2, "relative_energy_mev_per_atom": 24, "lattice": [[0.000, 4.481, 2.544], [3.019, 0.000, 2.544], [3.019, 4.481, 0.000]], "species": ["Ni", "Ni", "Ge", "Ge", "B", "B"], "frac_coords": [[0.208, 0.792, 0.792], [0.792, 0.208, 0.208], [0.125, 0.460, 0.540], [0.460, 0.125, 0.875], [0.604, 0.801, 0.199], [0.801, 0.604, 0.396]]}

=====

{"formula": "Ce2PuTl3Se6", "functional": "PBE", "state": "optimized geometry", "final_energy_ev_per_fu": -69.3, "raw_formation_energy_ev_per_fu": -15.07, "lattice": [[3.736, -6.471, 0.000], [3.736, 6.471, 0.000], [-2.490, 0.000, 7.713]], "species": ["Ce", "Ce", "Pu", "Tl", "Tl", "Tl", "Se", "Se", "Se", "Se", "Se", "Se"], "frac_coords": [[0.167, 0.833, 0.000], [0.833, 0.167, 0.000], [0.500, 0.500, 0.000], [0.000, 0.000, 0.500], [0.334, 0.666, 0.500], [0.666, 0.334, 0.500], [0.099, 0.431, 0.793], [0.236, 0.236, 0.207], [0.431, 0.099, 0.793], [0.569, 0.901, 0.207], [0.764, 0.764, 0.793], [0.901, 0.569, 0.207]]}